A relaxed structure of RbAg3Hg4F12, computed with PBE.

Computed properties:
- Electronic total energy: -61.62 eV per cell

abc: 7.6842 7.6842 7.6842
angles: 109.47 109.47 109.47
Closest atoms and distances in Å follow each position.
Fractional coordinates of all 20 atoms:
Ag 0.0000 0.5000 0.5000  4 F 2.39
Ag 0.5000 0.5000 0.0000  4 F 2.39
Ag 0.5000 0.0000 0.5000  4 F 2.39
F 0.7001 0.8194 0.5195  2 Hg 2.34, 1 Ag 2.39
F 0.7001 0.1806 0.8806  2 Hg 2.34, 1 Ag 2.39
F 0.5195 0.7001 0.8194  2 Hg 2.34, 1 Ag 2.39
F 0.2999 0.1806 0.4805  2 Hg 2.34, 1 Ag 2.39
F 0.1806 0.4805 0.2999  2 Hg 2.34, 1 Ag 2.39
F 0.8806 0.7001 0.1806  2 Hg 2.34, 1 Ag 2.39
F 0.8194 0.5195 0.7001  2 Hg 2.34, 1 Ag 2.39
F 0.8194 0.1194 0.2999  2 Hg 2.34, 1 Ag 2.39
F 0.4805 0.2999 0.1806  2 Hg 2.34, 1 Ag 2.39
F 0.2999 0.8194 0.1194  2 Hg 2.34, 1 Ag 2.39
F 0.1806 0.8806 0.7001  2 Hg 2.34, 1 Ag 2.39
F 0.1194 0.2999 0.8194  2 Hg 2.34, 1 Ag 2.39
Rb 0.0000 0.0000 0.0000  12 F 3.11
Hg 0.0000 0.5000 0.0000  6 F 2.34
Hg 0.0000 0.0000 0.5000  6 F 2.34
Hg 0.5000 0.5000 0.5000  6 F 2.34
Hg 0.5000 0.0000 0.0000  6 F 2.34


A relaxed structure of Rb4AgHg3F12, computed with PBE.

Computed properties:
- Electronic total energy: -68.87 eV per cell

abc: 7.9335 7.9335 7.9335
angles: 109.47 109.47 109.47
Closest atoms and distances in Å follow each position.
Fractional coordinates of all 20 atoms:
F 0.7500 0.0000 0.7500  1 Ag 2.29, 1 Hg 2.29
F 0.5000 0.7500 0.2500  2 Hg 2.29
F 0.7500 0.2500 0.5000  2 Hg 2.29
F 0.0000 0.7500 0.7500  1 Ag 2.29, 1 Hg 2.29
F 0.2500 0.2500 0.0000  1 Ag 2.29, 1 Hg 2.29
F 0.2500 0.7500 0.5000  2 Hg 2.29
F 0.0000 0.2500 0.2500  1 Ag 2.29, 1 Hg 2.29
F 0.2500 0.5000 0.7500  2 Hg 2.29
F 0.7500 0.5000 0.2500  2 Hg 2.29
F 0.2500 0.0000 0.2500  1 Ag 2.29, 1 Hg 2.29
F 0.5000 0.2500 0.7500  2 Hg 2.29
F 0.7500 0.7500 0.0000  1 Ag 2.29, 1 Hg 2.29
Hg 0.0000 0.5000 0.5000  6 F 2.29
Hg 0.5000 0.0000 0.5000  6 F 2.29
Hg 0.5000 0.5000 0.0000  6 F 2.29
Rb 0.0000 0.5000 0.0000  12 F 3.24
Rb 0.5000 0.0000 0.0000  12 F 3.24
Rb 0.0000 0.0000 0.5000  12 F 3.24
Rb 0.5000 0.5000 0.5000  12 F 3.24
Ag 0.0000 0.0000 0.0000  6 F 2.29